Record 1
Material: Ta2Nb4Fe3N3
Method: DFT, PBE
State: relaxed

Unit cell a=5.229 b=5.229 c=13.443 alpha=101.23 beta=101.23 gamma=59.68
Fractional positions:
Ta: 0.045 0.883 0.631
Ta: 0.117 0.955 0.869
Ta: 0.883 0.045 0.131
Ta: 0.955 0.117 0.369
Nb: 0.197 0.364 0.093
Nb: 0.300 0.473 0.407
Nb: 0.364 0.197 0.593
Nb: 0.473 0.300 0.907
Nb: 0.527 0.700 0.093
Nb: 0.636 0.803 0.407
Nb: 0.700 0.527 0.593
Nb: 0.803 0.636 0.907
Fe: 0.084 0.435 0.750
Fe: 0.397 0.603 0.250
Fe: 0.435 0.084 0.250
Fe: 0.565 0.916 0.750
Fe: 0.603 0.397 0.750
Fe: 0.916 0.565 0.250
N: 0.000 0.500 0.500
N: 0.148 0.703 0.000
N: 0.297 0.852 0.500
N: 0.500 0.000 0.000
N: 0.703 0.148 0.500
N: 0.852 0.297 0.000

Output
- Crystal system: monoclinic

***

Record 2
Material: RbNaReIr
Method: DFT, PBE
State: relaxed

Unit cell a=7.125 b=7.125 c=7.125 alpha=90.00 beta=90.00 gamma=90.00
Fractional positions:
Rb: 0.000 0.000 0.000
Rb: 0.000 0.500 0.500
Rb: 0.500 0.000 0.500
Rb: 0.500 0.500 0.000
Na: 0.000 0.000 0.500
Na: 0.000 0.500 0.000
Na: 0.500 0.000 0.000
Na: 0.500 0.500 0.500
Re: 0.250 0.250 0.250
Re: 0.250 0.750 0.750
Re: 0.750 0.250 0.750
Re: 0.750 0.750 0.250
Ir: 0.250 0.250 0.750
Ir: 0.250 0.750 0.250
Ir: 0.750 0.250 0.250
Ir: 0.750 0.750 0.750

Output
- Crystal system: cubic
- Excess energy over the best structure of this formula in the dataset: 679.4 meV per atom

***

Record 3
Material: TmAu2
Method: DFT, PBE
State: relaxed

Unit cell a=9.139 b=9.139 c=9.139 alpha=60.00 beta=60.00 gamma=60.00
Fractional positions:
Tm: 0.125 0.125 0.125
Tm: 0.875 0.875 0.875
Au: 0.000 0.000 0.000
Au: 0.000 0.000 0.500
Au: 0.000 0.500 0.000
Au: 0.500 0.000 0.000

Output
- Crystal system: cubic
- Energy of formation: 0.513 eV per atom

***

In μB per atom, the total magnetic moment values for the records above are, in order, 0.014, 0.975, 0.001.
In eV per atom, the DFT total energy values for the records above are, in order, -9.94, -3.73, -3.16.
In g/cm3, the mass density values for the records above are, in order, 10.13, 8.94, 3.46.